# 1
First-principles (PBE-GGA) data for a geometry-optimized ScNiN2 structure, as listed in Alexandria.

```
ScNiN2
1.0
1.6629 0.9601 5.6042
-1.6629 0.9601 5.6042
0.0000 -1.9201 5.6042
Sc Ni N
1 1 2
direct
0.0000 0.0000 0.0000
0.5000 0.5000 0.5000
0.3971 0.3971 0.3971
0.6029 0.6029 0.6029
```

- Calculated total energy: -7.426 eV/atom
- ρ: 4.1 g/cm3

# 2
First-principles (PBE-GGA) data for a geometry-optimized Be16Nb2Si structure, as listed in Alexandria.

```
Be16Nb2Si
1.0
3.7372 2.1577 3.5919
-3.7372 2.1577 3.5919
0.0000 -4.3153 3.5919
Be Nb Si
16 2 1
direct
0.0516 0.0516 0.0516
0.1529 0.1529 0.6625
0.1529 0.6625 0.1529
0.1551 0.4578 0.8547
0.1551 0.8547 0.4578
0.3168 0.8108 0.8108
0.4578 0.1551 0.8547
0.4578 0.8547 0.1551
0.5048 0.5048 0.9904
0.5048 0.9904 0.5048
0.6625 0.1529 0.1529
0.8108 0.3168 0.8108
0.8108 0.8108 0.3168
0.8547 0.1551 0.4578
0.8547 0.4578 0.1551
0.9904 0.5048 0.5048
0.5000 0.5000 0.5000
0.8136 0.8136 0.8136
0.2556 0.2556 0.2556
```

- Calculated total energy: -4.662 eV/atom
- ρ: 3.4 g/cm3

# 3
First-principles (PBE-GGA) data for a geometry-optimized ThAgHg6 structure, as listed in Alexandria.

```
ThAgHg6
1.0
4.8128 0.0000 0.0000
0.0000 3.9493 5.2062
0.0000 -3.9493 5.2062
Th Ag Hg
1 1 6
direct
0.0000 0.0000 0.0000
0.5000 0.2093 0.2093
0.0000 0.0985 0.4866
0.0000 0.4866 0.0985
0.0000 0.5793 0.5793
0.5000 0.2915 0.7274
0.5000 0.7274 0.2915
0.5000 0.7794 0.7794
```

- ρ: 13.0 g/cm3
- E_form: -54 meV per atom